(1)
TcAsOsN2 | GGA-PBE | optimized geometry

The structure in POSCAR format:
```
TcAsOsN2
1.0
-1.316 -1.405 3.113
1.516 -4.686 -1.473
3.241 0.541 1.614
Os As N Tc
1 1 2 1
Direct
0.000 0.500 0.000 Os
0.000 0.000 0.000 As
0.500 0.000 0.000 N
0.000 0.000 0.500 N
0.500 0.500 0.500 Tc
```

Computed properties:
raw formation energy = 2.04 eV/atom
symmetry = P4/mmm, No. 123
total DFT energy (no corrections) = -32.7 eV/cell



(2)
Th3AsOsN | GGA-PBE | optimized geometry

The structure in POSCAR format:
```
Th3AsOsN
1.0
-2.471 -2.731 -1.817
6.816 -4.509 -2.494
-1.700 -3.847 8.095
Th As N Os
6 2 2 2
Direct
0.750 0.181 0.517 Th
0.250 0.122 0.850 Th
0.250 0.576 0.839 Th
0.750 0.878 0.150 Th
0.250 0.819 0.483 Th
0.750 0.424 0.161 Th
0.250 0.163 0.220 As
0.750 0.837 0.780 As
0.250 0.086 0.590 N
0.750 0.914 0.410 N
0.250 0.652 0.155 Os
0.750 0.348 0.845 Os
```

Computed properties:
raw formation energy = -0.97 eV/atom
symmetry = P2_1/m, No. 11
total DFT energy (no corrections) = -104.6 eV/cell



(3)
YAsOs2N | GGA-PBE | optimized geometry

The structure in POSCAR format:
```
YAsOs2N
1.0
-1.249 -4.830 1.043
0.877 -1.055 -3.836
4.818 -0.952 1.364
N Os As Y
1 2 1 1
Direct
0.000 0.500 0.000 N
0.500 0.000 0.000 Os
0.000 0.000 0.500 Os
0.500 0.500 0.500 As
0.000 0.000 0.000 Y
```

Computed properties:
raw formation energy = 2.52 eV/atom
symmetry = P4/mmm, No. 123
total DFT energy (no corrections) = -29.3 eV/cell



(4)
AsPN2 | GGA-PBE | optimized geometry

The structure in POSCAR format:
```
AsPN2
1.0
-1.162 2.801 -3.863
-4.093 1.459 2.288
-0.672 5.127 0.798
As N P
2 4 2
Direct
0.750 0.250 0.500 As
0.000 0.000 0.000 As
0.470 0.125 0.250 N
0.375 0.530 0.750 N
0.280 0.625 0.250 N
0.875 0.720 0.750 N
0.500 0.500 0.000 P
0.250 0.750 0.500 P
```

Computed properties:
raw formation energy = 0.45 eV/atom
energy above the most stable polymorph in this dataset = 274 meV per atom
symmetry = I-42d, No. 122
total DFT energy (no corrections) = -49.8 eV/cell



(5)
AsPN2 | GGA-PBE | optimized geometry

The structure in POSCAR format:
```
AsPN2
1.0
0.316 -2.959 2.538
1.469 0.634 3.569
-2.338 -0.148 3.132
N P As
2 1 1
Direct
0.750 0.750 0.750 N
0.250 0.250 0.250 N
0.000 0.000 0.000 P
0.500 0.500 0.500 As
```

Computed properties:
raw formation energy = 1.76 eV/atom
energy above the most stable polymorph in this dataset = 1582 meV per atom
symmetry = Fm-3m, No. 225
total DFT energy (no corrections) = -19.7 eV/cell



(6)
AsPN2 | GGA-PBE | optimized geometry

The structure in POSCAR format:
```
AsPN2
1.0
-3.586 5.132 1.324
-1.766 4.971 3.622
-0.874 6.238 1.129
As N P
1 2 1
Direct
0.500 0.500 0.500 As
0.891 0.891 0.891 N
0.109 0.109 0.109 N
0.000 0.000 0.000 P
```

Computed properties:
raw formation energy = 0.73 eV/atom
energy above the most stable polymorph in this dataset = 553 meV per atom
symmetry = R-3m, No. 166
total DFT energy (no corrections) = -23.8 eV/cell



> The lowest total DFT energy (no corrections) belongs to which entry?

Th3AsOsN



> Which value of raw formation energy does entry 3 give?

2.52 eV/atom